{"formula": "NaNbV2O8", "functional": "PBE with a Hubbard U", "state": "optimized geometry", "cell": [[-3.493, 3.493, 3.023], [3.493, -3.493, 3.023], [3.493, 3.493, -3.023]], "species": ["Na", "Nb", "V", "V", "O", "O", "O", "O", "O", "O", "O", "O"], "frac_coords": [[0.000, 0.000, 0.000], [0.750, 0.250, 0.500], [0.250, 0.750, 0.500], [0.500, 0.500, 0.000], [0.049, 0.371, 0.322], [0.049, 0.727, 0.678], [0.132, 0.339, 0.792], [0.273, 0.951, 0.322], [0.547, 0.339, 0.208], [0.629, 0.951, 0.678], [0.661, 0.453, 0.792], [0.661, 0.868, 0.208]], "final_energy_ev_per_atom": -7.48, "crystal_system": "tetragonal"}